No. 1
Entry from Alexandria: Ac3Zn2In3 after structural relaxation (PBE).

Cell: 4.953 11.700 16.400 Å, 90.00 90.00 90.00°
Space group Cmcm (No. 63)
Asymmetric unit:
Ac (0.000, 0.095, 0.108) x8
Ac (0.000, 0.373, 0.250) x4
Zn (0.000, 0.203, 0.599) x8
In (0.000, 0.331, 0.750) x4
In (0.000, 0.380, 0.038) x8

***

No. 2
Entry from Alexandria: Ac5ZnIn4 after structural relaxation (PBE).

Cell: 3.961 3.961 21.430 Å, 90.00 90.00 90.00°
Space group P4/mmm (No. 123)
Asymmetric unit:
Ac (0.000, 0.000, 0.000) x1
Ac (0.000, 0.000, 0.207) x2
Ac (0.000, 0.000, 0.411) x2
Zn (0.500, 0.500, 0.500) x1
In (0.500, 0.500, 0.104) x2
In (0.500, 0.500, 0.310) x2

***

No. 3
Entry from Alexandria: Ac3Zn3In2 after structural relaxation (PBE).

Cell: 4.865 11.670 16.073 Å, 90.00 90.00 90.00°
Space group Cmcm (No. 63)
Asymmetric unit:
Ac (0.000, 0.093, 0.109) x8
Ac (0.000, 0.381, 0.250) x4
Zn (0.000, 0.331, 0.750) x4
Zn (0.000, 0.392, 0.034) x8
In (0.000, 0.203, 0.596) x8

***

No. 4
Entry from Alexandria: Ac2Zn5In3 after structural relaxation (PBE).

Cell: 11.115 13.034 6.538 Å, 90.00 90.00 90.00°
Space group Ibam (No. 72)
Asymmetric unit:
Ac (0.239, 0.125, 0.000) x8
Zn (0.000, 0.000, 0.250) x4
Zn (0.000, 0.268, 0.250) x8
Zn (0.136, 0.370, 0.000) x8
In (0.000, 0.500, 0.250) x4
In (0.123, 0.132, 0.500) x8

***

No. 5
Entry from Alexandria: Ac3ZnIn after structural relaxation (PBE).

Cell: 5.733 21.386 5.730 Å, 90.00 90.00 90.00°
Space group Cmcm (No. 63)
Asymmetric unit:
Ac (0.000, 0.064, 0.250) x4
Ac (0.000, 0.248, 0.250) x4
Ac (0.000, 0.432, 0.250) x4
Zn (0.000, 0.346, 0.750) x4
In (0.000, 0.157, 0.750) x4

***

No. 6
Entry from Alexandria: AcZn4In after structural relaxation (PBE).

Cell: 11.462 11.462 8.275 Å, 90.00 90.00 90.00°
Space group I4/mmm (No. 139)
Asymmetric unit:
Ac (0.000, 0.000, 0.222) x4
Ac (0.000, 0.500, 0.250) x4
Zn (0.108, 0.266, 0.000) x16
Zn (0.186, 0.186, 0.320) x16
In (0.000, 0.258, 0.500) x8

***

No. 7
Entry from Alexandria: Ac2Zn6In3 after structural relaxation (PBE).

Cell: 10.475 11.441 4.382 Å, 90.00 90.00 90.00°
Space group Cmmm (No. 65)
Asymmetric unit:
Ac (0.000, 0.217, 0.000) x4
Zn (0.111, 0.000, 0.500) x4
Zn (0.213, 0.348, 0.500) x8
In (0.000, 0.500, 0.500) x2
In (0.222, 0.500, 0.000) x4

***

No. 8
Entry from Alexandria: Ac2ZnIn3 after structural relaxation (PBE).

Cell: 4.260 4.939 8.569 Å, 90.00 90.00 90.00°
Space group Pmm2 (No. 25)
Asymmetric unit:
Ac (0.000, 0.000, 0.000) x1
Ac (0.000, 0.500, 0.491) x1
Zn (0.500, 0.000, 0.325) x1
In (0.500, 0.000, 0.648) x1
In (0.500, 0.500, 0.173) x1
In (0.500, 0.500, 0.830) x1

***

No. 9
Entry from Alexandria: Ac3Zn3In after structural relaxation (PBE).

Cell: 11.441 4.874 15.746 Å, 90.00 110.53 90.00°
Space group C2/m (No. 12)
Asymmetric unit:
Ac (0.038, 0.000, 0.381) x4
Ac (0.106, 0.000, 0.925) x4
Ac (0.248, 0.500, 0.778) x4
Zn (0.047, 0.500, 0.227) x4
Zn (0.099, 0.500, 0.075) x4
Zn (0.125, 0.500, 0.538) x4
In (0.249, 0.500, 0.396) x4

***

No. 10
Entry from Alexandria: Ac2Zn3In after structural relaxation (PBE).

Cell: 4.353 4.655 16.345 Å, 90.00 90.00 90.00°
Space group Imm2 (No. 44)
Asymmetric unit:
Ac (0.000, 0.000, 0.000) x2
Ac (0.000, 0.500, 0.260) x2
Zn (0.000, 0.000, 0.418) x2
Zn (0.000, 0.500, 0.677) x2
Zn (0.000, 0.500, 0.837) x2
In (0.000, 0.000, 0.589) x2

***

No. 11
Entry from Alexandria: Ac2Zn3In after structural relaxation (PBE).

Cell: 8.284 9.589 16.505 Å, 90.00 90.00 90.00°
Space group Fmmm (No. 69)
Asymmetric unit:
Ac (0.236, 0.000, 0.000) x8
Ac (0.250, 0.250, 0.250) x8
Zn (0.000, 0.000, 0.165) x8
Zn (0.000, 0.248, 0.081) x16
In (0.000, 0.000, 0.336) x8

***

No. 12
Entry from Alexandria: AcZnIn5 after structural relaxation (PBE).

Cell: 4.998 4.998 7.730 Å, 90.00 90.00 90.00°
Space group P4/mmm (No. 123)
Asymmetric unit:
Ac (0.000, 0.000, 0.000) x1
Zn (0.000, 0.000, 0.500) x1
In (0.000, 0.500, 0.305) x4
In (0.500, 0.500, 0.000) x1

***

No. 13
Entry from Alexandria: AcZn3In2 after structural relaxation (PBE).

Cell: 16.984 4.927 7.640 Å, 90.00 116.70 90.00°
Space group C2/m (No. 12)
Asymmetric unit:
Ac (0.138, 0.000, 0.138) x4
Zn (0.000, 0.000, 0.340) x4
Zn (0.173, 0.500, 0.872) x4
Zn (0.174, 0.500, 0.474) x4
In (0.000, 0.500, 0.191) x4
In (0.183, 0.000, 0.682) x4

***

No. 14
Entry from Alexandria: Ac3Zn6In5 after structural relaxation (PBE).

Cell: 4.767 10.335 13.961 Å, 90.00 90.00 90.00°
Space group Immm (No. 71)
Asymmetric unit:
Ac (0.000, 0.000, 0.000) x2
Ac (0.000, 0.000, 0.308) x4
Zn (0.000, 0.197, 0.500) x4
Zn (0.000, 0.280, 0.141) x8
In (0.000, 0.357, 0.341) x8
In (0.000, 0.500, 0.000) x2

***

No. 15
Entry from Alexandria: AcZrIn after structural relaxation (PBE).

Cell: 5.3182 5.3182 3.7028 Å, 90.00 90.00 120.00°
Space group P-6m2 (No. 187)
Asymmetric unit:
Ac (0.0000, 0.0000, 0.0000) x1
Zr (0.3333, 0.6667, 0.5000) x1
In (0.6667, 0.3333, 0.5000) x1

***

No. 16
Entry from Alexandria: AcZrIn2 after structural relaxation (PBE).

Cell: 3.5602 3.5602 31.4196 Å, 90.00 90.00 120.00°
Space group R-3m (No. 166, hexagonal axes)
Asymmetric unit:
Ac (0.0000, 0.0000, 0.0000) x3
Zr (0.0000, 0.0000, 0.5000) x3
In (0.0000, 0.0000, 0.2407) x6

***

No. 17
Entry from Alexandria: AcZrIn2 after structural relaxation (PBE).

Cell: 3.888 3.888 7.413 Å, 90.00 90.00 90.00°
Space group P4/mmm (No. 123)
Asymmetric unit:
Ac (0.000, 0.000, 0.000) x1
Zr (0.000, 0.000, 0.500) x1
In (0.500, 0.500, 0.297) x2

***

No. 18
Entry from Alexandria: AcZrIn after structural relaxation (PBE).

Cell: 3.631 3.631 13.514 Å, 90.00 90.00 90.00°
Space group I4mm (No. 107)
Asymmetric unit:
Ac (0.000, 0.000, 0.000) x2
Zr (0.000, 0.000, 0.316) x2
In (0.000, 0.000, 0.689) x2

***

No. 19
Entry from Alexandria: AcZrIn2 after structural relaxation (PBE).

Cell: 5.673 5.673 3.518 Å, 90.00 90.00 90.00°
Space group P4/mmm (No. 123)
Asymmetric unit:
Ac (0.000, 0.000, 0.000) x1
Zr (0.500, 0.500, 0.000) x1
In (0.000, 0.500, 0.500) x2

***

No. 20
Entry from Alexandria: AcZrIn after structural relaxation (PBE).

Cell: 5.681 5.706 6.511 Å, 83.61 74.68 60.99°
Space group P-1 (No. 2)
Asymmetric unit:
Ac (0.234, 0.159, 0.302) x2
Zr (0.412, 0.508, 0.775) x2
In (0.054, 0.185, 0.833) x2

***

| no. | E_form (eV per formula unit) |
| --- | --- |
| 1 | -3.3 |
| 2 | -3.8 |
| 3 | -2.8 |
| 4 | -3.5 |
| 5 | -1.2 |
| 6 | -0.7 |
| 7 | -2.4 |
| 8 | -2.5 |
| 9 | -2.0 |
| 10 | -1.9 |
| 11 | -2.0 |
| 12 | -1.4 |
| 13 | -1.3 |
| 14 | -4.4 |
| 15 | 0.1 |
| 16 | -0.2 |
| 17 | -1.0 |
| 18 | -0.1 |
| 19 | -0.3 |
| 20 | 0.0 |